{
  "formula": "GaTeI2Cl",
  "functional": "GGA-PBE",
  "state": "optimized geometry",
  "cell": [[5.5308, 0.0000, 0.0000], [0.0000, 5.5308, 0.0000], [0.0000, 0.0000, 5.5253]],
  "species": ["I", "I", "Te", "Ga", "Cl"],
  "fractional_positions": [[0.0000, 0.5000, 0.0000], [0.5000, 0.0000, 0.0000], [0.0000, 0.0000, 0.5000], [0.0000, 0.0000, 0.0000], [0.5000, 0.5000, 0.5000]],
  "e_form_raw_ev_per_fu": 0.99,
  "density_g_cm3": 4.78,
  "space_group": "No. 123",
  "dft_energy_ev_per_atom": -2.024
}